First-principles (PBE) data for a relaxed structure of TcPbW2, as listed in Alexandria via LeMat-Bulk.

Structure (CIF):
```
data_TcPbW2
_cell_length_a 4.150
_cell_length_b 4.150
_cell_length_c 8.036
_cell_angle_alpha 90.00
_cell_angle_beta 90.00
_cell_angle_gamma 90.00
_space_group_name_H-M_alt 'I -4 m 2'
_space_group_IT_number 119
_space_group_name_Hall 'I -4 -2'
loop_
_atom_site_label
_atom_site_type_symbol
_atom_site_fract_x
_atom_site_fract_y
_atom_site_fract_z
Tc1 Tc 0.000 0.000 0.000
Pb1 Pb 0.000 0.500 0.250
W1 W 0.000 0.000 0.500
W2 W 0.000 0.500 0.750
```

Values from the calculation:
Formation energy: 75.23 kJ per mole of atoms
Calculated volume: 138.4 Å³/cell
VASP energy: -9.22 eV/atom

***

First-principles (PBE) data for a relaxed structure of PrDy2Mg, as listed in Alexandria via LeMat-Bulk.

Structure (CIF):
```
data_PrDy2Mg
_cell_length_a 4.937
_cell_length_b 4.937
_cell_length_c 5.015
_cell_angle_alpha 90.00
_cell_angle_beta 90.00
_cell_angle_gamma 90.00
_space_group_name_H-M_alt 'P 4/m m m'
_space_group_IT_number 123
_space_group_name_Hall '-P 4 2'
loop_
_atom_site_label
_atom_site_type_symbol
_atom_site_fract_x
_atom_site_fract_y
_atom_site_fract_z
Pr1 Pr 0.000 0.000 0.000
Dy1 Dy 0.000 0.500 0.500
Mg1 Mg 0.500 0.500 0.000
```

Values from the calculation:
Formation energy: 1.66 kJ per mole of atoms
Calculated volume: 122.3 Å³/cell
VASP energy: -3.88 eV/atom
ΔE to the lowest computed polymorph: 0.048 eV per atom

***

First-principles (PBE) data for a relaxed structure of Cd2HgAs2, as listed in Alexandria via LeMat-Bulk.

Structure (CIF):
```
data_Cd2HgAs2
_cell_length_a 4.120
_cell_length_b 4.120
_cell_length_c 14.069
_cell_angle_alpha 90.00
_cell_angle_beta 90.00
_cell_angle_gamma 90.00
_space_group_name_H-M_alt 'I 4/m m m'
_space_group_IT_number 139
_space_group_name_Hall '-I 4 2'
loop_
_atom_site_label
_atom_site_type_symbol
_atom_site_fract_x
_atom_site_fract_y
_atom_site_fract_z
Cd1 Cd 0.000 0.000 0.101
Hg1 Hg 0.000 0.000 0.500
As1 As 0.000 0.500 0.250
```

Values from the calculation:
Formation energy: 11.23 kJ per mole of atoms
Calculated volume: 238.9 Å³/cell
VASP energy: -2.17 eV/atom
ΔE to the lowest computed polymorph: 0.108 eV per atom

***

First-principles (PBE) data for a relaxed structure of CaAlCu, as listed in Alexandria via LeMat-Bulk.

Structure (CIF):
```
data_CaAlCu
_cell_length_a 4.909
_cell_length_b 13.704
_cell_length_c 15.929
_cell_angle_alpha 90.00
_cell_angle_beta 90.00
_cell_angle_gamma 90.00
_space_group_name_H-M_alt 'F m m m'
_space_group_IT_number 69
_space_group_name_Hall '-F 2 2'
loop_
_atom_site_label
_atom_site_type_symbol
_atom_site_fract_x
_atom_site_fract_y
_atom_site_fract_z
Ca1 Ca 0.000 0.139 0.112
Al1 Al 0.000 0.000 0.304
Al2 Al 0.000 0.094 0.500
Cu1 Cu 0.000 0.176 0.289
```

Values from the calculation:
Formation energy: -1.14 kJ per mole of atoms
Calculated volume: 1071.6 Å³/cell
VASP energy: -3.29 eV/atom

***

> The highest calculated volume belongs to which entry?

CaAlCu